The following is a GGA-PBE calculation of a geometry-optimized Hf2Ga2Co structure, from Alexandria via LeMat-Bulk.

```
10
Lattice="3.845 0.000 0.911 1.949 4.919 0.343 -0.095 -0.480 8.970" Properties=species:S:1:pos:R:3 pbc="T T T"
Hf 2.498 2.932 6.597
Ga 3.996 3.609 8.841
Ga 4.877 3.504 5.127
Co 2.484 0.242 6.653
Hf 4.010 0.799 8.786
Hf 1.689 3.640 1.439
Hf 3.201 1.508 3.628
Ga 0.822 0.935 5.098
Ga 1.703 0.831 1.384
Co 3.215 4.197 3.572
```

* spin magnetization: 0.0 μB/cell
* mass density: 10.86 g/cm³
* excess energy over the best structure of this formula in the dataset: 0.000 eV per formula unit
* calculated total energy: -7.1089 eV/atom
* energy relative to the elements: -0.496 eV/atom

---

The following is a GGA-PBE calculation of a geometry-optimized HfGa3Co structure, from Alexandria via LeMat-Bulk.

```
20
Lattice="5.399 0.000 0.000 0.000 7.052 -0.936 0.000 0.206 8.172" Properties=species:S:1:pos:R:3 pbc="T T T"
Co 2.437 5.114 7.035
Co 5.137 5.669 -0.267
Hf 4.736 1.473 4.946
Ga 3.335 4.516 1.095
Co 0.263 1.589 7.503
Ga 4.764 0.990 1.563
Hf 2.037 2.258 2.759
Co 2.962 2.143 0.201
Hf 3.363 4.999 4.478
Ga 0.694 4.065 4.535
Ga 2.064 2.742 6.142
Ga 2.006 0.539 5.003
Ga 4.706 3.192 2.702
Ga 4.491 3.705 6.785
Ga 3.394 6.718 2.233
Hf 0.663 5.784 2.290
Ga 0.908 3.552 0.451
Ga 3.608 7.231 6.317
Ga 0.635 6.267 5.674
Ga 1.791 0.027 0.919
```

* spin magnetization: 0.0 μB/cell
* mass density: 9.50 g/cm³
* excess energy over the best structure of this formula in the dataset: 0.000 eV per formula unit
* calculated total energy: -5.5254 eV/atom
* energy relative to the elements: -0.297 eV/atom

---

The following is a GGA-PBE calculation of a geometry-optimized HoHfGaCo structure, from Alexandria via LeMat-Bulk.

```
4
Lattice="-0.425 -0.932 -4.630 -0.120 -4.492 -1.513 -4.037 -1.825 -1.691" Properties=species:S:1:pos:R:3 pbc="T T T"
Ho 0.000 0.000 0.000
Hf -2.291 -3.624 -3.917
Ga -3.436 -5.437 -5.875
Co -1.145 -1.812 -1.958
```

* spin magnetization: 0.8 μB/cell
* mass density: 10.40 g/cm³
* calculated total energy: -6.4315 eV/atom
* energy relative to the elements: -0.266 eV/atom

---

The following is a GGA-PBE calculation of a geometry-optimized Hf2MgGaCo structure, from Alexandria via LeMat-Bulk.

```
5
Lattice="4.973 0.000 0.000 0.000 4.465 0.000 0.000 0.000 4.973" Properties=species:S:1:pos:R:3 pbc="T T T"
Ga 0.000 2.232 0.000
Hf 0.000 0.000 2.487
Hf 2.487 0.000 0.000
Mg 0.000 0.000 0.000
Co 2.487 2.232 2.487
```

* spin magnetization: 0.0 μB/cell
* mass density: 7.67 g/cm³
* calculated total energy: -4.8173 eV/atom
* energy relative to the elements: 1.510 eV/atom

---

The following is a GGA-PBE calculation of a geometry-optimized Hf2GaCoN structure, from Alexandria via LeMat-Bulk.

```
5
Lattice="5.018 0.000 0.000 0.000 3.373 0.000 0.000 0.000 5.018" Properties=species:S:1:pos:R:3 pbc="T T T"
Co 0.000 0.000 0.000
Ga 2.509 1.687 2.509
N 0.000 1.687 0.000
Hf 0.000 0.000 2.509
Hf 2.509 0.000 0.000
```

* spin magnetization: 0.0 μB/cell
* mass density: 9.77 g/cm³
* calculated total energy: -7.5703 eV/atom
* E_form (uncorrected): 0.1027 eV per atom

---

The following is a GGA-PBE calculation of a geometry-optimized Hf2GaCoNi structure, from Alexandria via LeMat-Bulk.

```
5
Lattice="4.648 0.000 0.000 0.000 4.372 0.000 0.000 0.000 4.648" Properties=species:S:1:pos:R:3 pbc="T T T"
Hf 0.000 0.000 2.324
Hf 2.324 0.000 0.000
Ga 2.324 2.186 2.324
Ni 0.000 2.186 0.000
Co 0.000 0.000 0.000
```

* spin magnetization: 0.4 μB/cell
* mass density: 9.57 g/cm³
* calculated total energy: -6.9094 eV/atom
* energy relative to the elements: 0.255 eV/atom